A relaxed structure of CaZr3Ge, computed with PBE-GGA.

Summary:
Magnetization   0.001 μB per atom
Energy relative to the lowest polymorph listed for this composition   1411.4 meV/atom
DFT formation energy   1.599 eV/atom

The structure in extended XYZ format:
```
5
Lattice="5.019 0.000 0.000 0.000 5.019 0.000 0.000 0.000 5.019" Properties=species:S:1:pos:R:3 pbc="T T T"
Ca 0.000 0.000 0.000
Zr 0.000 0.000 2.509
Zr 0.000 2.509 0.000
Zr 2.509 0.000 0.000
Ge 2.509 2.509 2.509
```